# GGA-PBE LaPm2Ru, relaxed
data_LaPm2Ru
_cell_length_a 3.5202
_cell_length_b 3.5202
_cell_length_c 9.4760
_cell_angle_alpha 90.00
_cell_angle_beta 90.00
_cell_angle_gamma 90.00
_symmetry_space_group_name_H-M 'P 4/m m m'
_symmetry_Int_Tables_number 123
_symmetry_space_group_name_Hall '-P 4 2'
loop_
_atom_site_label
_atom_site_type_symbol
_atom_site_fract_x
_atom_site_fract_y
_atom_site_fract_z
La1 La 0.0000 0.0000 0.0000
Pm1 Pm 0.5000 0.5000 0.3222
Ru1 Ru 0.0000 0.0000 0.5000
# **Distance to the lowest polymorph of the same formula**: 140 meV/atom
# **DFT formation energy**: -95 meV/atom
# **Volume**: 117.4 Å³ per cell
# **E**: -6.021 eV/atom

---

# GGA-PBE TlPdSeBr2, relaxed
data_TlPdSeBr2
_cell_length_a 5.3502
_cell_length_b 5.3502
_cell_length_c 4.9343
_cell_angle_alpha 90.00
_cell_angle_beta 90.00
_cell_angle_gamma 90.00
_symmetry_space_group_name_H-M 'P 4/m m m'
_symmetry_Int_Tables_number 123
_symmetry_space_group_name_Hall '-P 4 2'
loop_
_atom_site_label
_atom_site_type_symbol
_atom_site_fract_x
_atom_site_fract_y
_atom_site_fract_z
Tl1 Tl 0.0000 0.0000 0.0000
Pd1 Pd 0.5000 0.5000 0.5000
Se1 Se 0.5000 0.5000 0.0000
Br1 Br 0.0000 0.5000 0.5000
# **Uncorrected formation energy**: -0.261 eV/atom
# **Distance to the lowest polymorph of the same formula**: 0 meV/atom
# **Volume**: 141.2 Å³ per cell
# **E**: -3.139 eV/atom

---

# GGA-PBE MgP2Cl, relaxed
data_MgP2Cl
_cell_length_a 6.5511
_cell_length_b 6.5511
_cell_length_c 6.5511
_cell_angle_alpha 90.00
_cell_angle_beta 90.00
_cell_angle_gamma 90.00
_symmetry_space_group_name_H-M 'F -4 3 m'
_symmetry_Int_Tables_number 216
_symmetry_space_group_name_Hall 'F -4 2 3'
loop_
_atom_site_label
_atom_site_type_symbol
_atom_site_fract_x
_atom_site_fract_y
_atom_site_fract_z
Mg1 Mg 0.0000 0.0000 0.0000
P1 P 0.0000 0.0000 0.5000
P2 P 0.2500 0.2500 0.7500
Cl1 Cl 0.2500 0.2500 0.2500
# **Uncorrected formation energy**: 0.185 eV/atom
# **Distance to the lowest polymorph of the same formula**: 761 meV/atom
# **Volume**: 281.2 Å³ per cell
# **E**: -3.380 eV/atom

---

# GGA-PBE BaGeAsO6, relaxed
data_BaGeAsO6
_cell_length_a 5.0433
_cell_length_b 5.0433
_cell_length_c 5.8915
_cell_angle_alpha 90.00
_cell_angle_beta 90.00
_cell_angle_gamma 120.00
_symmetry_space_group_name_H-M 'P 3 1 2'
_symmetry_Int_Tables_number 149
loop_
_symmetry_equiv_pos_as_xyz
'x,y,z'
'-y,x-y,z'
'-x+y,-x,z'
'-y,-x,-z'
'-x+y,y,-z'
'x,x-y,-z'
loop_
_atom_site_label
_atom_site_type_symbol
_atom_site_fract_x
_atom_site_fract_y
_atom_site_fract_z
Ba1 Ba 0.0000 0.0000 0.0000
Ge1 Ge 0.6667 0.3333 0.5000
As1 As 0.3333 0.6667 0.5000
O1 O 0.0090 0.3929 0.6828
# **Uncorrected formation energy**: -1.658 eV/atom
# **Volume**: 129.8 Å³ per cell
# **E**: -6.207 eV/atom

---

# GGA-PBE YMg2Au, relaxed
data_YMg2Au
_cell_length_a 6.9429
_cell_length_b 6.9429
_cell_length_c 6.9429
_cell_angle_alpha 90.00
_cell_angle_beta 90.00
_cell_angle_gamma 90.00
_symmetry_space_group_name_H-M 'F m -3 m'
_symmetry_Int_Tables_number 225
_symmetry_space_group_name_Hall '-F 4 2 3'
loop_
_atom_site_label
_atom_site_type_symbol
_atom_site_fract_x
_atom_site_fract_y
_atom_site_fract_z
Y1 Y 0.0000 0.0000 0.0000
Mg1 Mg 0.2500 0.2500 0.2500
Au1 Au 0.0000 0.0000 0.5000
# **DFT formation energy**: -324 meV/atom
# **Volume**: 334.7 Å³ per cell
# **E**: -3.557 eV/atom

---

# GGA-PBE Ce6Sn2CN, relaxed
data_Ce6Sn2CN
_cell_length_a 4.9347
_cell_length_b 4.9347
_cell_length_c 9.8710
_cell_angle_alpha 90.00
_cell_angle_beta 90.00
_cell_angle_gamma 90.00
_symmetry_space_group_name_H-M 'P 4/m m m'
_symmetry_Int_Tables_number 123
_symmetry_space_group_name_Hall '-P 4 2'
loop_
_atom_site_label
_atom_site_type_symbol
_atom_site_fract_x
_atom_site_fract_y
_atom_site_fract_z
Ce1 Ce 0.0000 0.0000 0.2482
Ce2 Ce 0.0000 0.5000 0.0000
Ce3 Ce 0.0000 0.5000 0.5000
Sn1 Sn 0.5000 0.5000 0.2494
C1 C 0.0000 0.0000 0.5000
N1 N 0.0000 0.0000 0.0000
# **Uncorrected formation energy**: -0.730 eV/atom
# **Volume**: 240.4 Å³ per cell
# **E**: -6.846 eV/atom

---

# GGA-PBE Be3FeGe, relaxed
data_Be3FeGe
_cell_length_a 4.1172
_cell_length_b 4.1172
_cell_length_c 4.1172
_cell_angle_alpha 90.00
_cell_angle_beta 90.00
_cell_angle_gamma 90.00
_symmetry_space_group_name_H-M 'P m -3 m'
_symmetry_Int_Tables_number 221
_symmetry_space_group_name_Hall '-P 4 2 3'
loop_
_atom_site_label
_atom_site_type_symbol
_atom_site_fract_x
_atom_site_fract_y
_atom_site_fract_z
Be1 Be 0.0000 0.0000 0.5000
Fe1 Fe 0.5000 0.5000 0.5000
Ge1 Ge 0.0000 0.0000 0.0000
# **Distance to the lowest polymorph of the same formula**: 587 meV/atom
# **DFT formation energy**: 1352 meV/atom
# **Volume**: 69.8 Å³ per cell
# **E**: -3.500 eV/atom

---

# GGA-PBE Hf5ZrRu6, relaxed
data_Hf5ZrRu6
_cell_length_a 4.6025
_cell_length_b 13.8008
_cell_length_c 6.4768
_cell_angle_alpha 90.00
_cell_angle_beta 90.00
_cell_angle_gamma 90.00
_symmetry_space_group_name_H-M 'C m m m'
_symmetry_Int_Tables_number 65
_symmetry_space_group_name_Hall '-C 2 2'
loop_
_atom_site_label
_atom_site_type_symbol
_atom_site_fract_x
_atom_site_fract_y
_atom_site_fract_z
Hf1 Hf 0.0000 0.0000 0.0000
Hf2 Hf 0.0000 0.3334 0.0000
Hf3 Hf 0.0000 0.3328 0.5000
Zr1 Zr 0.0000 0.0000 0.5000
Ru1 Ru 0.0000 0.1673 0.2491
Ru2 Ru 0.0000 0.5000 0.2484
# **DFT formation energy**: -788 meV/atom
# **Volume**: 411.4 Å³ per cell
# **E**: -10.286 eV/atom

---

# GGA-PBE Hf2TiBi2, relaxed
data_Hf2TiBi2
_cell_length_a 4.8965
_cell_length_b 16.0959
_cell_length_c 5.8272
_cell_angle_alpha 90.00
_cell_angle_beta 90.00
_cell_angle_gamma 90.00
_symmetry_space_group_name_H-M 'C m c 21'
_symmetry_Int_Tables_number 36
loop_
_symmetry_equiv_pos_as_xyz
'x,y,z'
'-x,-y,z+1/2'
'-x,y,z'
'x,-y,z+1/2'
'x+1/2,y+1/2,z'
'-x+1/2,-y+1/2,z+1/2'
'-x+1/2,y+1/2,z'
'x+1/2,-y+1/2,z+1/2'
loop_
_atom_site_label
_atom_site_type_symbol
_atom_site_fract_x
_atom_site_fract_y
_atom_site_fract_z
Hf1 Hf 0.0000 0.0333 0.0000
Hf2 Hf 0.0000 0.1591 0.4946
Ti1 Ti 0.0000 0.3742 0.2835
Bi1 Bi 0.0000 0.2183 0.9875
Bi2 Bi 0.0000 0.4365 0.7995
# **Distance to the lowest polymorph of the same formula**: 0 meV/atom
# **DFT formation energy**: -105 meV/atom
# **Volume**: 459.3 Å³ per cell
# **E**: -7.217 eV/atom

---

# GGA-PBE TiCu2Bi2, relaxed
data_TiCu2Bi2
_cell_length_a 7.1966
_cell_length_b 7.1966
_cell_length_c 3.8506
_cell_angle_alpha 90.00
_cell_angle_beta 90.00
_cell_angle_gamma 90.00
_symmetry_space_group_name_H-M 'P 4/m b m'
_symmetry_Int_Tables_number 127
_symmetry_space_group_name_Hall '-P 4 2ab'
loop_
_atom_site_label
_atom_site_type_symbol
_atom_site_fract_x
_atom_site_fract_y
_atom_site_fract_z
Ti1 Ti 0.0000 0.0000 0.0000
Cu1 Cu 0.1204 0.3796 0.0000
Bi1 Bi 0.1817 0.6817 0.5000
# **Distance to the lowest polymorph of the same formula**: 0 meV/atom
# **DFT formation energy**: 184 meV/atom
# **Volume**: 199.4 Å³ per cell
# **E**: -4.586 eV/atom

---

# GGA-PBE BaCr2Ni, relaxed
data_BaCr2Ni
_cell_length_a 4.9034
_cell_length_b 4.9034
_cell_length_c 6.9990
_cell_angle_alpha 90.00
_cell_angle_beta 90.00
_cell_angle_gamma 90.00
_symmetry_space_group_name_H-M 'I -4 m 2'
_symmetry_Int_Tables_number 119
_symmetry_space_group_name_Hall 'I -4 -2'
loop_
_atom_site_label
_atom_site_type_symbol
_atom_site_fract_x
_atom_site_fract_y
_atom_site_fract_z
Ba1 Ba 0.0000 0.0000 0.0000
Cr1 Cr 0.0000 0.0000 0.5000
Cr2 Cr 0.0000 0.5000 0.7500
Ni1 Ni 0.0000 0.5000 0.2500
# **Distance to the lowest polymorph of the same formula**: 441 meV/atom
# **DFT formation energy**: 894 meV/atom
# **Volume**: 168.3 Å³ per cell
# **E**: -5.844 eV/atom

---

# GGA-PBE CaSn2Pb, relaxed
data_CaSn2Pb
_cell_length_a 4.2000
_cell_length_b 4.2000
_cell_length_c 6.7002
_cell_angle_alpha 90.00
_cell_angle_beta 90.00
_cell_angle_gamma 90.00
_symmetry_space_group_name_H-M 'P 4/m m m'
_symmetry_Int_Tables_number 123
_symmetry_space_group_name_Hall '-P 4 2'
loop_
_atom_site_label
_atom_site_type_symbol
_atom_site_fract_x
_atom_site_fract_y
_atom_site_fract_z
Ca1 Ca 0.0000 0.0000 0.0000
Sn1 Sn 0.5000 0.5000 0.2709
Pb1 Pb 0.0000 0.0000 0.5000
# **DFT formation energy**: -264 meV/atom
# **Volume**: 118.2 Å³ per cell
# **E**: -3.693 eV/atom

---

# GGA-PBE Nd5Er3Tm2, relaxed
data_Nd5Er3Tm2
_cell_length_a 10.6729
_cell_length_b 14.8747
_cell_length_c 9.9841
_cell_angle_alpha 90.00
_cell_angle_beta 122.30
_cell_angle_gamma 90.00
_symmetry_space_group_name_H-M 'C 1 2/c 1'
_symmetry_Int_Tables_number 15
loop_
_symmetry_equiv_pos_as_xyz
'x,y,z'
'-x,-y,-z'
'-x,y,-z+1/2'
'x,-y,z+1/2'
'x+1/2,y+1/2,z'
'-x+1/2,-y+1/2,-z'
'-x+1/2,y+1/2,-z+1/2'
'x+1/2,-y+1/2,z+1/2'
loop_
_atom_site_label
_atom_site_type_symbol
_atom_site_fract_x
_atom_site_fract_y
_atom_site_fract_z
Nd1 Nd 0.0000 0.0190 0.2500
Nd2 Nd 0.0000 0.2283 0.2500
Nd3 Nd 0.0000 0.4780 0.7500
Nd4 Nd 0.2466 0.3690 0.2405
Er1 Er 0.0000 0.2729 0.7500
Er2 Er 0.1551 0.3748 0.5576
Tm1 Tm 0.1520 0.1292 0.0573
# **DFT formation energy**: 179 meV/atom
# **Volume**: 1339.9 Å³ per cell
# **E**: -4.468 eV/atom